20
Lattice="-0.1568 4.3349 5.2841 -8.0054 4.5100 -3.9375 -4.0919 -4.2938 3.4010" Properties=species:S:1:pos:R:3 comment="Sc3TlP | the Alexandria database | PBE | relaxed" rho_g_cm3=5.26 e_above_lowest_polymorph_ev_per_atom=0.0285 formation_enthalpy_0k_ev_per_fu=-3.5 pbc="T T T"
Tl -2.0016 1.1296 -0.9815
Tl -8.1284 3.4007 1.3869
Tl -10.2525 3.4215 5.7292
Tl -4.1256 1.1504 3.3608
Sc -7.3430 -0.3795 1.7918
Sc -11.3374 1.8709 -0.1728
Sc -6.9471 2.2857 4.0396
Sc -10.9415 4.5360 2.0749
Sc -4.9111 4.9306 2.9558
Sc -5.3070 2.2654 0.7081
Sc -8.0439 1.2419 -1.2575
Sc -4.2101 3.3091 6.0052
Sc -6.1656 -0.9926 5.0537
Sc -0.9166 2.6802 4.9205
Sc -1.3126 0.0150 2.6727
Sc -6.0884 5.5437 -0.3060
P -2.0459 -2.1469 1.7005
P -0.0784 2.1674 2.6420
P -6.0486 0.1081 -0.2682
P -4.0811 4.4224 0.6733



4
Lattice="3.6741 0.0000 0.0000 0.0000 3.3731 -0.2067 0.0000 2.1067 7.1055" Properties=species:S:1:pos:R:3 comment="ScTlP2 | the Alexandria database | PBE | relaxed" rho_g_cm3=5.77 e_above_lowest_polymorph_ev_per_atom=0.0000 formation_enthalpy_0k_ev_per_fu=-2.1 pbc="T T T"
P 0.0000 3.0939 2.7359
P 0.0000 3.0191 0.5067
Tl 1.8370 4.1098 5.1741
Sc 1.8370 1.3699 1.7247



4
Lattice="-5.4946 -1.6542 1.7348 -3.8998 -3.1910 -3.2474 5.7187 0.1180 1.7941" Properties=species:S:1:pos:R:3 comment="ScTlP2 | the Alexandria database | PBE | relaxed" rho_g_cm3=6.51 e_above_lowest_polymorph_ev_per_atom=0.3309 formation_enthalpy_0k_ev_per_fu=-0.8 pbc="T T T"
Sc -4.6972 -2.4226 -0.7563
P 0.0000 0.0000 0.0000
P -1.4391 -2.7478 -1.1047
Tl -2.2365 -1.9794 1.3863



4
Lattice="5.1316 -0.0016 -0.0148 1.2228 4.9838 0.0148 -2.7815 -2.9958 3.1020" Properties=species:S:1:pos:R:3 comment="ScTlP2 | the Alexandria database | PBE | relaxed" rho_g_cm3=6.51 e_above_lowest_polymorph_ev_per_atom=0.4244 formation_enthalpy_0k_ev_per_fu=-0.4 pbc="T T T"
Sc 0.8093 2.2395 1.5584
Tl 2.7637 -0.2532 1.5436
P 0.0979 0.0767 0.0000
P 3.0793 2.4143 0.0000



10
Lattice="-6.6573 3.3431 1.5013 -1.3698 -3.2144 1.0836 2.5499 1.2873 7.0420" Properties=species:S:1:pos:R:3 comment="Sc3TlP | the Alexandria database | PBE | relaxed" rho_g_cm3=5.82 e_above_lowest_polymorph_ev_per_atom=0.0208 formation_enthalpy_0k_ev_per_fu=-3.6 pbc="T T T"
Sc -4.0117 1.4371 3.8940
Sc -3.1174 -1.4510 2.6324
Sc -5.1712 0.8643 6.9041
Sc -1.7275 1.4426 6.7974
Sc -0.5875 0.1571 4.4258
Sc 1.6968 0.1626 7.3293
Tl -7.0239 0.8709 4.5848
Tl -5.8685 -0.4307 2.1816
P -3.1494 -0.5156 5.3668
P -0.5353 -1.0992 6.9400



10
Lattice="-2.0535 6.6110 2.9888 -2.4433 -3.5549 6.1845 3.1370 0.3287 1.4283" Properties=species:S:1:pos:R:3 comment="Sc2TlP2 | the Alexandria database | PBE | relaxed" rho_g_cm3=6.01 e_above_lowest_polymorph_ev_per_atom=0.0864 formation_enthalpy_0k_ev_per_fu=-3.5 pbc="T T T"
Sc -2.8298 -0.6845 6.3728
Sc -1.1662 -0.3300 2.6372
Sc -1.6670 3.7406 2.8005
Sc -3.3307 3.3862 6.5360
P -0.3577 -1.1343 5.2436
P -1.8405 1.5077 7.8924
P 0.4807 1.8772 2.7092
P -1.0022 4.5191 5.3580
Tl 0.0000 0.0000 0.0000
Tl -2.2484 1.5281 4.5866